Compound: Zr3Sc
Source: the Alexandria database
Functional: SCAN
Structure: PBEsol geometry

abc: 3.1563 3.1563 31.0615
angles: 90.00 90.00 120.00
Space group R-3m (No. 166, hexagonal axes)
One atom of each set of equivalent atoms:
Zr 0.0000 0.0000 0.0000 (multiplicity 3)
Zr 0.0000 0.0000 0.2511 (multiplicity 6)
Sc 0.0000 0.0000 0.5000 (multiplicity 3)

Properties
Crystal system ... trigonal
ΔE_f ... 0.26 eV per formula unit
Total energy ... -318.2 eV for the cell shown